[1]
# Ho2NiGe6 (PBE, optimized geometry)
data_Ho2NiGe6
_cell_length_a 10.966
_cell_length_b 10.966
_cell_length_c 4.076
_cell_angle_alpha 90.00
_cell_angle_beta 90.00
_cell_angle_gamma 159.30
_space_group_name_H-M_alt 'P 1'
_space_group_IT_number 1
loop_
_space_group_symop_operation_xyz
'x,y,z'
loop_
_atom_site_label
_atom_site_type_symbol
_atom_site_fract_x
_atom_site_fract_y
_atom_site_fract_z
_atom_site_occupancy
Ho1 Ho 0.174 0.826 0.000 1
Ho2 Ho 0.826 0.174 0.000 1
Ni1 Ni 0.500 0.500 0.500 1
Ge1 Ge 0.068 0.932 0.500 1
Ge2 Ge 0.289 0.711 0.500 1
Ge3 Ge 0.434 0.566 0.000 1
Ge4 Ge 0.566 0.434 0.000 1
Ge5 Ge 0.711 0.289 0.500 1
Ge6 Ge 0.932 0.068 0.500 1
# - total moment (μB per formula unit) = 0.001
# - final energy (eV per formula unit) = -46.9
# - space group = Cmmm, No. 65

=====

[2]
# HoNiGe (PBE, optimized geometry)
data_HoNiGe
_cell_length_a 6.909
_cell_length_b 4.221
_cell_length_c 7.280
_cell_angle_alpha 90.00
_cell_angle_beta 90.00
_cell_angle_gamma 90.00
_space_group_name_H-M_alt 'P 1'
_space_group_IT_number 1
loop_
_space_group_symop_operation_xyz
'x,y,z'
loop_
_atom_site_label
_atom_site_type_symbol
_atom_site_fract_x
_atom_site_fract_y
_atom_site_fract_z
_atom_site_occupancy
Ho1 Ho 0.008 0.250 0.205 1
Ho2 Ho 0.492 0.750 0.705 1
Ho3 Ho 0.508 0.250 0.295 1
Ho4 Ho 0.992 0.750 0.795 1
Ni1 Ni 0.194 0.750 0.417 1
Ni2 Ni 0.306 0.250 0.917 1
Ni3 Ni 0.694 0.750 0.083 1
Ni4 Ni 0.806 0.250 0.583 1
Ge1 Ge 0.196 0.250 0.588 1
Ge2 Ge 0.304 0.750 0.088 1
Ge3 Ge 0.696 0.250 0.912 1
Ge4 Ge 0.804 0.750 0.412 1
# - total moment (μB per formula unit) = 0.001
# - final energy (eV per formula unit) = -17.2
# - space group = Pnma, No. 62

=====

[3]
# HoNi5Ge3 (PBE, optimized geometry)
data_HoNi5Ge3
_cell_length_a 19.128
_cell_length_b 3.863
_cell_length_c 6.822
_cell_angle_alpha 90.00
_cell_angle_beta 90.00
_cell_angle_gamma 90.00
_space_group_name_H-M_alt 'P 1'
_space_group_IT_number 1
loop_
_space_group_symop_operation_xyz
'x,y,z'
loop_
_atom_site_label
_atom_site_type_symbol
_atom_site_fract_x
_atom_site_fract_y
_atom_site_fract_z
_atom_site_occupancy
Ho1 Ho 0.145 0.250 0.121 1
Ho2 Ho 0.355 0.750 0.621 1
Ho3 Ho 0.645 0.250 0.379 1
Ho4 Ho 0.855 0.750 0.879 1
Ni1 Ni 0.004 0.750 0.133 1
Ni2 Ni 0.013 0.250 0.382 1
Ni3 Ni 0.112 0.250 0.641 1
Ni4 Ni 0.200 0.750 0.811 1
Ni5 Ni 0.207 0.750 0.426 1
Ni6 Ni 0.293 0.250 0.926 1
Ni7 Ni 0.300 0.250 0.311 1
Ni8 Ni 0.388 0.750 0.141 1
Ni9 Ni 0.487 0.750 0.882 1
Ni10 Ni 0.496 0.250 0.633 1
Ni11 Ni 0.504 0.750 0.367 1
Ni12 Ni 0.513 0.250 0.118 1
Ni13 Ni 0.612 0.250 0.859 1
Ni14 Ni 0.700 0.750 0.689 1
Ni15 Ni 0.707 0.750 0.074 1
Ni16 Ni 0.793 0.250 0.574 1
Ni17 Ni 0.800 0.250 0.189 1
Ni18 Ni 0.888 0.750 0.359 1
Ni19 Ni 0.987 0.750 0.618 1
Ni20 Ni 0.996 0.250 0.867 1
Ge1 Ge 0.076 0.750 0.852 1
Ge2 Ge 0.086 0.750 0.406 1
Ge3 Ge 0.237 0.250 0.617 1
Ge4 Ge 0.263 0.750 0.117 1
Ge5 Ge 0.414 0.250 0.906 1
Ge6 Ge 0.424 0.250 0.352 1
Ge7 Ge 0.576 0.750 0.648 1
Ge8 Ge 0.586 0.750 0.094 1
Ge9 Ge 0.737 0.250 0.883 1
Ge10 Ge 0.763 0.750 0.383 1
Ge11 Ge 0.914 0.250 0.594 1
Ge12 Ge 0.924 0.250 0.148 1
# - total moment (μB per formula unit) = 0.005
# - final energy (eV per formula unit) = -51.2
# - space group = Pnma, No. 62

=====

[4]
# HoNiGe3 (PBE, optimized geometry)
data_HoNiGe3
_cell_length_a 11.022
_cell_length_b 11.022
_cell_length_c 4.072
_cell_angle_alpha 90.00
_cell_angle_beta 90.00
_cell_angle_gamma 158.65
_space_group_name_H-M_alt 'P 1'
_space_group_IT_number 1
loop_
_space_group_symop_operation_xyz
'x,y,z'
loop_
_atom_site_label
_atom_site_type_symbol
_atom_site_fract_x
_atom_site_fract_y
_atom_site_fract_z
_atom_site_occupancy
Ho1 Ho 0.169 0.831 0.000 1
Ho2 Ho 0.831 0.169 0.000 1
Ni1 Ni 0.389 0.611 0.500 1
Ni2 Ni 0.611 0.389 0.500 1
Ge1 Ge 0.058 0.942 0.500 1
Ge2 Ge 0.283 0.717 0.500 1
Ge3 Ge 0.443 0.557 0.000 1
Ge4 Ge 0.557 0.443 0.000 1
Ge5 Ge 0.717 0.283 0.500 1
Ge6 Ge 0.942 0.058 0.500 1
# - total moment (μB per formula unit) = 0.001
# - final energy (eV per formula unit) = -26.9
# - space group = Cmmm, No. 65

=====

[5]
# HoNi4Ge3 (PBE, optimized geometry)
data_HoNi4Ge3
_cell_length_a 5.027
_cell_length_b 3.982
_cell_length_c 5.911
_cell_angle_alpha 90.00
_cell_angle_beta 96.96
_cell_angle_gamma 90.00
_space_group_name_H-M_alt 'P 1'
_space_group_IT_number 1
loop_
_space_group_symop_operation_xyz
'x,y,z'
loop_
_atom_site_label
_atom_site_type_symbol
_atom_site_fract_x
_atom_site_fract_y
_atom_site_fract_z
_atom_site_occupancy
Ho1 Ho 0.000 0.000 0.000 1
Ni1 Ni 0.060 0.500 0.665 1
Ni2 Ni 0.383 0.000 0.643 1
Ni3 Ni 0.505 0.000 0.196 1
Ni4 Ni 0.798 0.500 0.269 1
Ge1 Ge 0.300 0.500 0.340 1
Ge2 Ge 0.526 0.500 0.884 1
Ge3 Ge 0.838 0.000 0.515 1
# - total moment (μB per formula unit) = 0.000
# - final energy (eV per formula unit) = -43.9
# - space group = Pm, No. 6

=====

[6]
# HoNi2GeP (PBE, optimized geometry)
data_HoNi2GeP
_cell_length_a 5.570
_cell_length_b 5.570
_cell_length_c 5.570
_cell_angle_alpha 138.48
_cell_angle_beta 138.48
_cell_angle_gamma 60.17
_space_group_name_H-M_alt 'P 1'
_space_group_IT_number 1
loop_
_space_group_symop_operation_xyz
'x,y,z'
loop_
_atom_site_label
_atom_site_type_symbol
_atom_site_fract_x
_atom_site_fract_y
_atom_site_fract_z
_atom_site_occupancy
Ho1 Ho 0.000 0.000 0.000 1
Ni1 Ni 0.259 0.759 0.500 1
Ni2 Ni 0.759 0.259 0.500 1
Ge1 Ge 0.624 0.624 0.000 1
P1 P 0.373 0.373 0.000 1
# - total moment (μB per formula unit) = 0.001
# - final energy (eV per formula unit) = -30.1
# - space group = I4mm, No. 107